Entry 1:
## Sr2TiAu (PBE)

Data for an optimized crystal structure of Sr2TiAu.

crystal system = cubic
formation energy from the elements = 1.40 eV/f.u.
SG = No. 225

Unit cell a=5.510 b=5.510 c=5.510 alpha=60.00 beta=60.00 gamma=60.00
Positions (direct):
Sr  0.250  0.250  0.250
Au  0.500  0.500  0.500
Sr  0.750  0.750  0.750
Ti  0.000  0.000  0.000

=====

Entry 2:
## BeAl2Pd (PBE)

Data for an optimized crystal structure of BeAl2Pd.

crystal system = tetragonal
formation energy from the elements = -1.22 eV/f.u.
SG = No. 123

Unit cell a=3.629 b=3.859 c=3.859 alpha=90.00 beta=90.00 gamma=90.00
Positions (direct):
Pd  0.500  0.000  0.000
Al  0.000  0.000  0.500
Al  0.000  0.500  0.000
Be  0.500  0.500  0.500

=====

Entry 3:
## BiPb12Au6 (PBE)

Data for an optimized crystal structure of BiPb12Au6.

crystal system = trigonal
formation energy from the elements = -0.11 eV/f.u.
SG = No. 148

Unit cell a=8.279 b=8.279 c=8.279 alpha=100.39 beta=100.39 gamma=100.39
Positions (direct):
Au  0.288  0.465  0.739
Au  0.535  0.261  0.712
Au  0.712  0.535  0.261
Pb  0.337  0.817  0.933
Au  0.261  0.712  0.535
Pb  0.382  0.079  0.333
Pb  0.933  0.337  0.817
Pb  0.667  0.618  0.921
Pb  0.333  0.382  0.079
Pb  0.921  0.667  0.618
Pb  0.067  0.663  0.183
Pb  0.079  0.333  0.382
Bi  0.000  0.000  0.000
Au  0.465  0.739  0.288
Au  0.739  0.288  0.465
Pb  0.618  0.921  0.667
Pb  0.183  0.067  0.663
Pb  0.817  0.933  0.337
Pb  0.663  0.183  0.067

=====

Entry 4:
## Li5CdIn4 (PBE)

Data for an optimized crystal structure of Li5CdIn4.

crystal system = tetragonal
formation energy from the elements = -2.69 eV/f.u.
SG = No. 123

Unit cell a=3.376 b=3.376 c=17.002 alpha=90.00 beta=90.00 gamma=90.00
Positions (direct):
In  0.000  0.000  0.599
Li  0.500  0.500  0.902
In  0.000  0.000  0.200
In  0.000  0.000  0.800
Li  0.500  0.500  0.500
Li  0.500  0.500  0.098
In  0.000  0.000  0.401
Li  0.500  0.500  0.302
Cd  0.000  0.000  0.000
Li  0.500  0.500  0.698

=====

Entry 5:
## ScTl2SbC (PBE)

Data for an optimized crystal structure of ScTl2SbC.

formation energy without anion corrections = 4.6 eV per formula unit
crystal system = tetragonal
SG = No. 123

Unit cell a=5.999 b=3.943 c=5.999 alpha=90.00 beta=90.00 gamma=90.00
Positions (direct):
Tl  0.000  0.000  0.500
Tl  0.500  0.000  0.000
Sb  0.500  0.500  0.500
Sc  0.000  0.000  0.000
C  0.000  0.500  0.000

=====

Entry 6:
## PaTaGa (PBE)

Data for an optimized crystal structure of PaTaGa.

crystal system = orthorhombic
formation energy from the elements = 0.12 eV/f.u.
SG = No. 71

Unit cell a=3.034 b=7.778 c=7.778 alpha=42.87 beta=78.75 gamma=78.75
Positions (direct):
Ta  0.872  0.128  0.128
Ta  0.128  0.872  0.872
Ga  0.500  0.273  0.727
Pa  0.821  0.679  0.679
Ga  0.500  0.727  0.273
Pa  0.179  0.321  0.321

=====

Short version: magnetization = 0.00, 0.00, 0.00, 0.00, 0.00, 0.00 μB per formula unit, in the order given.